Here is crystalline MnRh2Cl at its relaxed geometry from the Alexandria database. Energies are from PBE-GGA.

Geometry as CIF:
```
data_MnRh2Cl
_chemical_formula_sum 'Mn1 Rh2 Cl1'
_symmetry_space_group_name_H-M 'P 4/m m m'
_symmetry_Int_Tables_number 123
_symmetry_space_group_name_Hall '-P 4 2'
_cell_length_a 3.001
_cell_length_b 3.001
_cell_length_c 6.704
_cell_angle_alpha 90.00
_cell_angle_beta 90.00
_cell_angle_gamma 90.00
loop_
_atom_site_label
_atom_site_type_symbol
_atom_site_fract_x
_atom_site_fract_y
_atom_site_fract_z
Mn1 Mn 0.000 0.000 0.000
Rh1 Rh 0.500 0.500 0.212
Cl1 Cl 0.000 0.000 0.500
```

Crystal system: tetragonal
Raw formation energy in eV per atom: 0.1244

Here is crystalline YBr2NF at its relaxed geometry from the Alexandria database. Energies are from PBE-GGA.

Geometry as CIF:
```
data_YBr2NF
_chemical_formula_sum 'Y1 Br2 N1 F1'
_symmetry_space_group_name_H-M 'P 4/m m m'
_symmetry_Int_Tables_number 123
_symmetry_space_group_name_Hall '-P 4 2'
_cell_length_a 5.422
_cell_length_b 5.422
_cell_length_c 3.566
_cell_angle_alpha 90.00
_cell_angle_beta 90.00
_cell_angle_gamma 90.00
loop_
_atom_site_label
_atom_site_type_symbol
_atom_site_fract_x
_atom_site_fract_y
_atom_site_fract_z
Y1 Y 0.000 0.000 0.000
Br1 Br 0.000 0.500 0.500
N1 N 0.500 0.500 0.000
F1 F 0.500 0.500 0.500
```

Crystal system: tetragonal
Raw formation energy in eV per atom: 0.1135

Here is crystalline PrCd4Rh at its relaxed geometry from the Alexandria database. Energies are from PBE-GGA.

Geometry as CIF:
```
data_PrCd4Rh
_chemical_formula_sum 'Pr4 Cd16 Rh4'
_symmetry_space_group_name_H-M 'F -4 3 m'
_symmetry_Int_Tables_number 216
_symmetry_space_group_name_Hall 'F -4 2 3'
_cell_length_a 8.052
_cell_length_b 8.052
_cell_length_c 8.052
_cell_angle_alpha 90.00
_cell_angle_beta 90.00
_cell_angle_gamma 90.00
loop_
_atom_site_label
_atom_site_type_symbol
_atom_site_fract_x
_atom_site_fract_y
_atom_site_fract_z
Pr1 Pr 0.000 0.000 0.000
Cd1 Cd 0.124 0.124 0.624
Rh1 Rh 0.250 0.250 0.250
```

Crystal system: cubic
Formation energy in meV per atom: -164

Here is crystalline Cr2SbCl at its relaxed geometry from the Alexandria database. Energies are from PBE-GGA.

Geometry as CIF:
```
data_Cr2SbCl
_chemical_formula_sum 'Cr2 Sb1 Cl1'
_symmetry_space_group_name_H-M 'P m m m'
_symmetry_Int_Tables_number 47
_cell_length_a 3.333
_cell_length_b 4.345
_cell_length_c 5.729
_cell_angle_alpha 90.00
_cell_angle_beta 90.00
_cell_angle_gamma 90.00
loop_
_symmetry_equiv_pos_as_xyz
'x,y,z'
'-x,-y,-z'
'-x,-y,z'
'x,y,-z'
'x,-y,-z'
'-x,y,z'
'-x,y,-z'
'x,-y,z'
loop_
_atom_site_label
_atom_site_type_symbol
_atom_site_fract_x
_atom_site_fract_y
_atom_site_fract_z
Cr1 Cr 0.000 0.000 0.000
Cr2 Cr 0.000 0.500 0.500
Sb1 Sb 0.500 0.000 0.500
Cl1 Cl 0.500 0.500 0.000
```

Crystal system: orthorhombic
Raw formation energy in eV per atom: 0.2610